Entry 1:
Here is a geometry-optimized Rb2CeMgF6 structure from the Alexandria database. Energies are from PBE.

The space group is Pmmn (No. 59, origin choice 2) and the conventional cell measures 6.086, 8.904 and 6.683 Å, with angles of 90.00, 90.00 and 90.00 degrees. The distinct sites, in fractional coordinates, are Rb at (0.250, 0.016, 0.211), Ce at (0.250, 0.250, 0.715), Mg at (0.250, 0.750, 0.769), F at (0.000, 0.250, 0.437), F at (0.010, 0.750, 0.992) and F at (0.250, 0.517, 0.772).

The formation energy (no corrections) comes out at -3.11 eV per atom. The total energy is -103.6 eV per cell.



Entry 2:
Here is a geometry-optimized NdPaTc2 structure from the Alexandria database. Energies are from PBE.

The space group is P4/mmm (No. 123) and the conventional cell measures 3.433, 3.433 and 7.237 Å, with angles of 90.00, 90.00 and 90.00 degrees. The distinct sites, in fractional coordinates, are Nd at (0.000, 0.000, 0.000), Pa at (0.000, 0.000, 0.500) and Tc at (0.500, 0.500, 0.292).

The total energy is -35.3 eV per cell. For the energy relative to the lowest polymorph listed for this composition, the calculation gives 0 meV per atom.



Entry 3:
Here is a geometry-optimized Y4TlTeSe2 structure from the Alexandria database. Energies are from PBE.

The space group is P2/m (No. 10) and the conventional cell measures 7.401, 4.135 and 7.436 Å, with angles of 90.00, 108.36 and 90.00 degrees. The distinct sites, in fractional coordinates, are Y at (0.235, 0.000, 0.232), Y at (0.253, 0.500, 0.765), Tl at (0.000, 0.000, 0.500), Te at (0.500, 0.500, 0.500), Se at (0.000, 0.500, 0.000) and Se at (0.500, 0.000, 0.000).

The formation energy (no corrections) comes out at -1.30 eV per atom. The total energy is -48.7 eV per cell.



| no. | V (Å³ per cell) |
| --- | --- |
| 1 | 362 |
| 2 | 85 |
| 3 | 216 |